# 1
Density functional theory data (PBE) for an optimized crystal structure of Pu2ZnAu.

Cell: 4.535 4.389 4.389 Å, 90.00 90.00 90.00°
Last column: magnetic moment on the atom in μB.
Sites, in units of the cell vectors:
Zn1 0.500 0.000 0.000  -0.01
Au1 0.500 0.500 0.500  0.06
Pu1 0.000 0.000 0.500  5.49
Pu2 0.000 0.500 0.000  5.49

Computed properties:
SG	P4/mmm, No. 123
formation energy	-0.22	eV/atom
spin magnetization	11.5	μB per formula unit
volume	21.84	Å³ per atom
total energy	-34.09	eV/f.u.

# 2
Density functional theory data (PBE) for an optimized crystal structure of Pu3Zn4Au2.

Cell: 4.850 8.754 8.724 Å, 145.36 90.01 106.07°
Last column: magnetic moment on the atom in μB.
Sites, in units of the cell vectors:
Pu1 0.671 0.343 0.816  5.50
Pu2 0.000 0.000 0.000  5.28
Pu3 0.329 0.657 0.184  5.50
Zn1 0.708 0.416 0.250  0.00
Zn2 0.292 0.584 0.750  0.00
Zn3 0.979 0.957 0.609  0.00
Zn4 0.021 0.043 0.391  0.00
Au1 0.595 0.190 0.354  0.00
Au2 0.405 0.810 0.646  0.00

Computed properties:
SG	C2/m, No. 12
formation energy	-0.19	eV/atom
spin magnetization	16.9	μB per formula unit
volume	20.43	Å³ per atom
total energy	-56.38	eV/f.u.